Density functional theory data (GGA-PBE) for crystalline CaZr2Pt at its relaxed geometry.

POSCAR file:
```
CaZr2Pt
1.0
8.2069 0.0000 0.0000
0.0000 8.2069 0.0000
4.1035 4.1035 2.9963
Pt Zr Ca
2 4 2
direct
0.7500 0.2500 0.5000
0.0000 0.0000 0.0000
0.8750 0.9402 0.7500
0.6902 0.1250 0.2500
0.3750 0.3098 0.7500
0.0598 0.6250 0.2500
0.5000 0.5000 0.0000
0.2500 0.7500 0.5000
```

Results
uncorrected energy = -51.85 eV for the cell shown
energy of formation = -0.197 eV per atom
M_tot = 0.0000 μB/atom